Record 1
## AlGePS2 (PBE)

Data for crystalline AlGePS2 at its relaxed geometry.

Energy relative to the elements, uncorrected ... 0.251 eV per atom
Raw total energy ... -4.154 eV per atom
Magnetization ... 0.000 μB/atom
Space group ... No. 123

Cell: 4.6106 4.6106 4.6916 Å, 90.00 90.00 90.00°
Fractional coordinates of all 5 atoms:
P 0.0000 0.0000 0.5000
Ge 0.5000 0.5000 0.5000
S 0.0000 0.5000 0.0000
S 0.5000 0.0000 0.0000
Al 0.0000 0.0000 0.0000



Record 2
## Zr2HgF11 (PBE)

Data for crystalline Zr2HgF11 at its relaxed geometry.

Energy relative to the elements, uncorrected ... -2.869 eV per atom
Raw total energy ... -5.582 eV per atom
Magnetization ... 0.084 μB/atom
Space group ... No. 72

Cell: 7.9920 8.4570 8.4570 Å, 73.82 61.80 61.80°
Last column: magnetic moment on the atom in μB.
Fractional coordinates of all 28 atoms:
Zr 0.6266 0.6855 0.3145  -0.01
Zr 0.3734 0.3145 0.6855  -0.01
Zr 0.8734 0.1855 0.8145  -0.01
Zr 0.1266 0.8145 0.1855  -0.01
Hg 0.7500 0.7500 0.7500  0.13
Hg 0.2500 0.2500 0.2500  0.13
F 0.6040 0.7280 0.5485  0.09
F 0.3960 0.2720 0.4515  0.09
F 0.1196 0.5485 0.7280  0.09
F 0.8960 0.9515 0.7720  0.09
F 0.8804 0.4515 0.2720  0.09
F 0.1040 0.0485 0.2280  0.09
F 0.3804 0.7720 0.9515  0.09
F 0.6196 0.2280 0.0485  0.09
F 0.5000 0.5000 0.5000  0.09
F 0.0000 0.0000 0.0000  0.09
F 0.8668 0.7816 0.2184  0.05
F 0.1332 0.2184 0.7816  0.05
F 0.6332 0.2816 0.7184  0.05
F 0.3668 0.7184 0.2816  0.05
F 0.4644 0.9658 0.3021  0.11
F 0.5356 0.0342 0.6979  0.11
F 0.2677 0.3021 0.9658  0.11
F 0.0356 0.1979 0.5342  0.11
F 0.7323 0.6979 0.0342  0.11
F 0.9644 0.8021 0.4658  0.11
F 0.2323 0.5342 0.1979  0.11
F 0.7677 0.4658 0.8021  0.11



Record 3
## Nd2Sm2DyHo4 (PBE)

Data for crystalline Nd2Sm2DyHo4 at its relaxed geometry.

Calculated formation energy ... 0.02 eV per formula unit
Raw total energy ... -4.652 eV per atom
Magnetization ... 0.000 μB/atom
Space group ... No. 12

Cell: 3.6155 9.5549 9.6147 Å, 115.25 90.00 100.91°
Fractional coordinates of all 9 atoms:
Nd 0.3347 0.6694 0.9988
Nd 0.6653 0.3306 0.0012
Sm 0.8528 0.7057 0.3372
Sm 0.1472 0.2943 0.6628
Dy 0.0000 0.0000 0.0000
Ho 0.8152 0.6303 0.6641
Ho 0.1848 0.3697 0.3359
Ho 0.5193 0.0386 0.3327
Ho 0.4807 0.9614 0.6673



Record 4
## Li3Pd3Pt (PBE)

Data for crystalline Li3Pd3Pt at its relaxed geometry.

Calculated formation energy ... -2.20 eV per formula unit
Raw total energy ... -4.223 eV per atom
Magnetization ... 0.000 μB/atom
Space group ... No. 160

Cell: 5.2446 5.2446 5.2446 Å, 109.70 109.70 109.70°
Fractional coordinates of all 7 atoms:
Li 0.4691 0.4691 0.9443
Li 0.9443 0.4691 0.4691
Li 0.4691 0.9443 0.4691
Pd 0.9712 0.4562 0.9712
Pd 0.9712 0.9712 0.4562
Pd 0.4562 0.9712 0.9712
Pt 0.9194 0.9194 0.9194



Record 5
## NdRe2SiC (PBE)

Data for crystalline NdRe2SiC at its relaxed geometry.

Energy relative to the elements, uncorrected ... -0.434 eV per atom
Raw total energy ... -9.297 eV per atom
Magnetization ... 0.000 μB/atom
Space group ... No. 63

Cell: 5.8275 5.8275 7.3856 Å, 90.00 90.00 139.58°
Fractional coordinates of all 10 atoms:
Nd 0.5430 0.4570 0.2500
Nd 0.4570 0.5430 0.7500
Re 0.8249 0.1751 0.0607
Re 0.1751 0.8249 0.9393
Re 0.1751 0.8249 0.5607
Re 0.8249 0.1751 0.4393
Si 0.2659 0.7341 0.2500
Si 0.7341 0.2659 0.7500
C 0.0000 0.0000 0.0000
C 0.0000 0.0000 0.5000



Record 6
## BPb3 (PBE)

Data for crystalline BPb3 at its relaxed geometry.

Calculated formation energy ... 3.95 eV per formula unit
Raw total energy ... -3.464 eV per atom
Magnetization ... 0.000 μB/atom
Space group ... No. 194

Cell: 6.5342 6.5342 5.7187 Å, 90.00 90.00 120.00°
Fractional coordinates of all 8 atoms:
B 0.3333 0.6667 0.7500
B 0.6667 0.3333 0.2500
Pb 0.1706 0.3413 0.2500
Pb 0.6587 0.8294 0.2500
Pb 0.1706 0.8294 0.2500
Pb 0.8294 0.6587 0.7500
Pb 0.3413 0.1706 0.7500
Pb 0.8294 0.1706 0.7500



Record 7
## PmB4Pt4 (PBE)

Data for crystalline PmB4Pt4 at its relaxed geometry.

Calculated formation energy ... -4.19 eV per formula unit
Raw total energy ... -6.646 eV per atom
Magnetization ... 0.000 μB/atom
Space group ... No. 86

Cell: 3.8542 8.0575 8.0575 Å, 90.00 90.00 90.00°
Fractional coordinates of all 18 atoms:
Pm 0.0000 0.0000 0.0000
Pm 0.5000 0.5000 0.5000
B 0.5920 0.8293 0.2823
B 0.5920 0.1707 0.7177
B 0.0920 0.7823 0.6707
B 0.9080 0.3293 0.7823
B 0.9080 0.6707 0.2177
B 0.4080 0.2823 0.1707
B 0.4080 0.7177 0.8293
B 0.0920 0.2177 0.3293
Pt 0.4075 0.3263 0.9129
Pt 0.9075 0.5871 0.8263
Pt 0.4075 0.6737 0.0871
Pt 0.0925 0.1737 0.5871
Pt 0.5925 0.9129 0.6737
Pt 0.0925 0.8263 0.4129
Pt 0.9075 0.4129 0.1737
Pt 0.5925 0.0871 0.3263



Record 8
## Pm6C2Cl3O (PBE)

Data for crystalline Pm6C2Cl3O at its relaxed geometry.

Energy relative to the elements, uncorrected ... -1.423 eV per atom
Raw total energy ... -6.211 eV per atom
Magnetization ... 0.000 μB/atom
Space group ... No. 12

Cell: 6.4294 6.4294 7.3404 Å, 98.41 98.41 120.01°
Fractional coordinates of all 12 atoms:
Pm 0.9369 0.6030 0.8108
Pm 0.7292 0.7292 0.1898
Pm 0.0631 0.3970 0.1892
Pm 0.6030 0.9369 0.8108
Pm 0.2708 0.2708 0.8102
Pm 0.3970 0.0631 0.1892
C 0.3337 0.6663 0.0000
C 0.6663 0.3337 0.0000
Cl 0.1708 0.8292 0.5000
Cl 0.8292 0.1708 0.5000
Cl 0.5000 0.5000 0.5000
O 0.0000 0.0000 0.0000



Record 9
## TlTeAs2 (PBE)

Data for crystalline TlTeAs2 at its relaxed geometry.

Energy relative to the elements, uncorrected ... 0.350 eV per atom
Raw total energy ... -3.352 eV per atom
Magnetization ... 0.000 μB/atom
Space group ... No. 123

Cell: 5.1406 5.1406 3.6665 Å, 90.00 90.00 90.00°
Fractional coordinates of all 4 atoms:
Tl 0.0000 0.5000 0.5000
Te 0.5000 0.0000 0.5000
As 0.0000 0.0000 0.0000
As 0.5000 0.5000 0.0000



Record 10
## BaZrIn2 (PBE)

Data for crystalline BaZrIn2 at its relaxed geometry.

Calculated formation energy ... -0.18 eV per formula unit
Raw total energy ... -4.032 eV per atom
Magnetization ... 0.000 μB/atom
Space group ... No. 25

Cell: 5.2692 3.4046 6.6032 Å, 90.03 90.00 90.00°
Fractional coordinates of all 4 atoms:
Ba 0.5000 0.6249 0.7894
In 0.0000 0.1250 0.0083
In 0.5000 0.1250 0.3207
Zr 0.0000 0.6251 0.3816



Record 11
## Li2ZrSiH (PBE)

Data for crystalline Li2ZrSiH at its relaxed geometry.

Raw total energy ... -4.665 eV per atom
Magnetization ... 0.000 μB/atom
Space group ... No. 123

Cell: 3.8785 3.8785 4.3874 Å, 90.00 90.00 90.00°
Fractional coordinates of all 5 atoms:
H 0.0000 0.0000 0.0000
Si 0.5000 0.5000 0.5000
Zr 0.0000 0.0000 0.5000
Li 0.0000 0.5000 0.0000
Li 0.5000 0.0000 0.0000



Record 12
## Na2TiTl2 (PBE)

Data for crystalline Na2TiTl2 at its relaxed geometry.

Calculated formation energy ... 3.02 eV per formula unit
Raw total energy ... -2.449 eV per atom
Magnetization ... 0.003 μB/atom
Space group ... No. 139

Cell: 5.4022 5.4022 5.8848 Å, 62.68 62.68 90.00°
Fractional coordinates of all 5 atoms:
Na 0.3631 0.3631 0.2739
Na 0.6369 0.6369 0.7261
Tl 0.7500 0.2500 0.5000
Tl 0.2500 0.7500 0.5000
Ti 0.0000 0.0000 0.0000



Record 13
## Ba3Ca2Te3S2 (PBE)

Data for crystalline Ba3Ca2Te3S2 at its relaxed geometry.

Energy relative to the elements, uncorrected ... -1.783 eV per atom
Raw total energy ... -4.528 eV per atom
Magnetization ... 0.000 μB/atom
Space group ... No. 139

Cell: 5.1188 5.1188 15.3336 Å, 99.61 99.61 90.00°
Fractional coordinates of all 10 atoms:
Ba 0.8841 0.8841 0.7682
Ba 0.5000 0.5000 0.0000
Ba 0.1159 0.1159 0.2318
Ca 0.7500 0.2500 0.5000
Ca 0.2500 0.7500 0.5000
Te 0.6224 0.6224 0.2448
Te 0.3776 0.3776 0.7552
Te 0.0000 0.0000 0.0000
S 0.7795 0.7795 0.5589
S 0.2205 0.2205 0.4411



Record 14
## Na4Sb3H4 (PBE)

Data for crystalline Na4Sb3H4 at its relaxed geometry.

Raw total energy ... -2.942 eV per atom
Magnetization ... 0.000 μB/atom
Space group ... No. 12

Cell: 5.3713 6.2668 8.0813 Å, 112.81 112.21 90.00°
Fractional coordinates of all 11 atoms:
Na 0.7453 0.2651 0.5302
Na 0.2547 0.7349 0.4698
Na 0.5000 0.7551 0.0000
Na 0.5000 0.2449 0.0000
Sb 0.9096 0.8938 0.7877
Sb 0.0904 0.1062 0.2123
Sb 0.0000 0.5000 0.0000
H 0.7174 0.6134 0.3487
H 0.2826 0.2647 0.6513
H 0.2826 0.3866 0.6513
H 0.7174 0.7353 0.3487



Record 15
## MnReSb2 (PBE)

Data for crystalline MnReSb2 at its relaxed geometry.

Energy relative to the elements, uncorrected ... 0.508 eV per atom
Raw total energy ... -6.958 eV per atom
Magnetization ... 0.000 μB/atom
Space group ... No. 10

Cell: 3.2342 3.2280 7.1921 Å, 63.64 90.00 90.00°
Fractional coordinates of all 4 atoms:
Mn 0.5000 0.2500 0.2500
Re 0.5000 0.7500 0.7500
Sb 0.0000 0.9940 0.0071
Sb 0.0000 0.5060 0.4929



Record 16
## Sc5Ir3 (PBE)

Data for crystalline Sc5Ir3 at its relaxed geometry.

Calculated formation energy ... -6.59 eV per formula unit
Raw total energy ... -8.104 eV per atom
Magnetization ... 0.000 μB/atom
Space group ... No. 193

Cell: 7.9094 7.9094 5.6869 Å, 90.00 90.00 120.00°
Fractional coordinates of all 16 atoms:
Ir 0.0000 0.3905 0.7500
Ir 0.0000 0.6095 0.2500
Ir 0.3905 0.0000 0.7500
Ir 0.3905 0.3905 0.2500
Ir 0.6096 0.0000 0.2500
Ir 0.6096 0.6095 0.7500
Sc 0.0000 0.2593 0.2500
Sc 0.0000 0.7407 0.7500
Sc 0.2593 0.0000 0.2500
Sc 0.2593 0.2593 0.7500
Sc 0.3333 0.6667 0.0000
Sc 0.3333 0.6667 0.5000
Sc 0.6667 0.3333 0.0000
Sc 0.6667 0.3333 0.5000
Sc 0.7407 0.0000 0.7500
Sc 0.7407 0.7407 0.2500



Record 17
## Tb2Ga5Pt3 (PBE)

Data for crystalline Tb2Ga5Pt3 at its relaxed geometry.

Calculated formation energy ... -8.95 eV per formula unit
Raw total energy ... -5.147 eV per atom
Magnetization ... 0.000 μB/atom
Space group ... No. 72

Cell: 5.7421 8.6453 8.6453 Å, 73.15 70.60 70.60°
Fractional coordinates of all 20 atoms:
Tb 0.1401 0.5839 0.1358
Tb 0.6401 0.1358 0.5839
Tb 0.8599 0.4161 0.8642
Tb 0.3599 0.8642 0.4161
Ga 0.4025 0.2642 0.9308
Ga 0.9025 0.9308 0.2642
Ga 0.5975 0.7358 0.0693
Ga 0.0975 0.0693 0.7358
Ga 0.4607 0.7893 0.7893
Ga 0.5393 0.2107 0.2107
Ga 0.7500 0.5000 0.5000
Ga 0.2500 0.5000 0.5000
Ga 0.0393 0.2107 0.2107
Ga 0.9607 0.7893 0.7893
Pt 0.3551 0.5429 0.7468
Pt 0.8551 0.7468 0.5429
Pt 0.6449 0.4571 0.2532
Pt 0.1449 0.2532 0.4571
Pt 0.2500 0.0000 0.0000
Pt 0.7500 0.0000 0.0000